! Na5ErPb6 GGA-PBE optimized geometry; values from VASP
! **Fermi-level density of states**: 0.5053 states/eV/atom
! **Formation energy from the elements**: -0.1766 eV per atom
&SYSTEM
  ibrav = 0, nat = 12, ntyp = 3
/
ATOMIC_SPECIES
Pb 207.20 Pb.upf
Na 22.99 Na.upf
Er 167.26 Er.upf
ATOMIC_POSITIONS crystal
Pb 0.500 0.237 0.000
Pb 0.163 0.753 0.672
Pb 0.837 0.247 0.328
Pb 0.163 0.247 0.672
Pb 0.500 0.763 0.000
Pb 0.837 0.753 0.328
Na 0.000 0.500 0.000
Na 0.668 0.500 0.665
Na 0.332 0.500 0.335
Na 0.326 0.000 0.349
Na 0.674 0.000 0.651
Er 0.000 0.000 0.000
CELL_PARAMETERS angstrom
-3.413 1.776 2.983
-4.998 -8.133 -0.876
1.811 -1.895 7.254